Model one:
The following is a DFT calculation (PBE) of crystalline Ti3MoOs at its relaxed geometry.

## Properties
Total magnetic moment ... 1.002 μB/cell
Calculated density ... 6.952 Mg/m³

The structure in CIF format:
```
data_Ti3MoOs
_symmetry_space_group_name_H-M 'P m -3 m'
_symmetry_Int_Tables_number 221
_symmetry_space_group_name_Hall '-P 4 2 3'
_cell_length_a 4.682
_cell_length_b 4.682
_cell_length_c 4.682
_cell_angle_alpha 90.00
_cell_angle_beta 90.00
_cell_angle_gamma 90.00
loop_
_atom_site_label
_atom_site_type_symbol
_atom_site_fract_x
_atom_site_fract_y
_atom_site_fract_z
Ti1 Ti 0.000 0.000 0.500
Mo1 Mo 0.500 0.500 0.500
Os1 Os 0.000 0.000 0.000
```

=====

Model two:
The following is a DFT calculation (PBE) of crystalline Ti3MoOs at its relaxed geometry.

## Properties
Total magnetic moment ... 0.003 μB/cell
Calculated density ... 9.079 Mg/m³

The structure in CIF format:
```
data_Ti3MoOs
_symmetry_space_group_name_H-M 'C m c m'
_symmetry_Int_Tables_number 63
_symmetry_space_group_name_Hall '-C 2c 2'
_cell_length_a 4.475
_cell_length_b 15.727
_cell_length_c 4.468
_cell_angle_alpha 90.00
_cell_angle_beta 90.00
_cell_angle_gamma 90.00
loop_
_atom_site_label
_atom_site_type_symbol
_atom_site_fract_x
_atom_site_fract_y
_atom_site_fract_z
Ti1 Ti 0.000 0.059 0.250
Ti2 Ti 0.000 0.250 0.250
Ti3 Ti 0.000 0.440 0.250
Mo1 Mo 0.000 0.147 0.750
Os1 Os 0.000 0.350 0.750
```

=====

Top of the stability list: model two, leading by 1191 meV/atom.